Here is a PBEsol-optimized structure of CsHg2CO from Alexandria via LeMat-Bulk. Energies are from SCAN.

The structure in POSCAR format:
```
CsHg2CO
1.0
4.6309 0.0000 0.0000
0.0000 4.6309 0.0000
0.0000 0.0000 6.1587
Cs C Hg O
1 1 2 1
Cartesian
0.0000 0.0000 3.0794
2.3155 2.3155 3.0794
0.0000 2.3155 0.0000
2.3155 0.0000 0.0000
0.0000 0.0000 0.0000
```

Summary:
Calculated total energy ... -37.17 eV per atom
Energy relative to the elements, uncorrected ... 0.922 eV/atom
D(E_F) ... 0.272 states/eV per atom
M_tot ... 0.575 μB/atom

---

Here is a PBEsol-optimized structure of CsHgOsC2 from Alexandria via LeMat-Bulk. Energies are from SCAN.

The structure in POSCAR format:
```
CsHgOsC2
1.0
4.1195 0.0000 0.0000
0.0000 4.1195 0.0000
0.0000 0.0000 6.4586
Cs C Os Hg
1 2 1 1
Cartesian
0.0000 0.0000 3.2293
0.0000 2.0597 0.0000
2.0597 0.0000 0.0000
0.0000 0.0000 0.0000
2.0597 2.0597 3.2293
```

Summary:
Calculated total energy ... -38.02 eV per atom
D(E_F) ... 0.392 states/eV per atom
M_tot ... 0.000 μB/atom

---

Here is a PBEsol-optimized structure of CsC3I from Alexandria via LeMat-Bulk. Energies are from SCAN.

The structure in POSCAR format:
```
CsC3I
1.0
-3.4882 1.2626 -2.5019
-2.7346 -2.4070 2.5979
-0.6128 3.5543 2.6481
Cs I C
1 1 3
Cartesian
-3.4178 1.2049 1.3720
0.0000 0.0000 0.0000
-1.3673 -1.2035 1.2990
-0.3064 1.7772 1.3240
-1.7441 0.6313 -1.2510
```

Summary:
Calculated total energy ... -17.73 eV per atom
Energy relative to the elements, uncorrected ... 3.243 eV/atom
D(E_F) ... 0.785 states/eV per atom
M_tot ... 0.001 μB/atom

---

Here is a PBEsol-optimized structure of CsCIO2 from Alexandria via LeMat-Bulk. Energies are from SCAN.

The structure in POSCAR format:
```
CsCIO2
1.0
4.1334 0.0000 0.0000
0.0000 4.1334 0.0000
0.0000 0.0000 7.8017
Cs I C O
1 1 1 2
Cartesian
0.0000 0.0000 0.0000
0.0000 0.0000 3.9009
2.0667 2.0667 3.9009
0.0000 2.0667 0.0000
2.0667 0.0000 0.0000
```

Summary:
Calculated total energy ... -17.73 eV per atom
Energy relative to the elements, uncorrected ... 1.691 eV/atom
D(E_F) ... 0.246 states/eV per atom
M_tot ... 0.219 μB/atom